Record 1
The following is a DFT calculation (PBE) of crystalline AcLa3Sb3 at its relaxed geometry.

a b c (Å): 9.8021 9.8021 9.8021
angles (deg): 90.00 90.00 90.00
Last column: nearest neighbours and their distance in Å.
Space group P2_13 (No. 198)
Unique sites:
Ac1 0.0702 0.4298 0.5702  6 Sb 3.30-3.54
La1 0.0720 0.5720 0.9280  6 Sb 3.22-3.57
La2 0.1793 0.8207 0.3207  6 Sb 3.26-3.50
La3 0.1811 0.1811 0.1811  6 Sb 3.26-3.52
Sb1 0.0016 0.2546 0.8786  6 La 3.22-3.57, 2 Ac 3.30-3.54

Computed properties:
- Energy relative to the lowest polymorph listed for this composition: 0.0 meV per atom

Record 2
The following is a DFT calculation (PBE) of crystalline AcLa3Sb4 at its relaxed geometry.

a b c (Å): 9.3442 13.2101 4.6737
angles (deg): 90.00 90.00 90.00
Last column: nearest neighbours and their distance in Å.
Space group Cmmm (No. 65)
Unique sites:
Ac1 0.0000 0.0000 0.0000  6 Sb 3.35
La1 0.0000 0.5000 0.0000  6 Sb 3.26
La2 0.2500 0.2500 0.5000  6 Sb 3.30
Sb1 0.0000 0.2533 0.0000  5 La 3.26-3.30, 1 Ac 3.35
Sb2 0.2431 0.5000 0.5000  4 La 3.26-3.30, 2 Ac 3.35

Computed properties:
- Energy relative to the lowest polymorph listed for this composition: 0.0 meV per atom

Record 3
The following is a DFT calculation (PBE) of crystalline Ac5LaSb6 at its relaxed geometry.

a b c (Å): 8.2681 14.3223 8.2698
angles (deg): 90.00 109.49 90.00
Last column: nearest neighbours and their distance in Å.
Space group C2/m (No. 12)
Unique sites:
Ac1 0.0000 0.0000 0.0000  6 Sb 3.38-3.43
Ac2 0.0000 0.1662 0.5000  6 Sb 3.38
Ac3 0.0000 0.3320 0.0000  6 Sb 3.37-3.42
La1 0.0000 0.5000 0.5000  6 Sb 3.32-3.33
Sb1 0.2452 0.5000 0.2525  1 La 3.33, 5 Ac 3.38-3.43
Sb2 0.2459 0.3360 0.7462  1 La 3.32, 5 Ac 3.37-3.42

Computed properties:
- E_tot: -5.409 eV per atom

Record 4
The following is a DFT calculation (PBE) of crystalline Ac3LaSb4 at its relaxed geometry.

a b c (Å): 6.7332 6.7332 6.7332
angles (deg): 90.00 90.00 90.00
Last column: nearest neighbours and their distance in Å.
Space group Pm-3m (No. 221)
Unique sites:
Ac1 0.0000 0.0000 0.5000  6 Sb 3.37
La1 0.5000 0.5000 0.5000  6 Sb 3.37
Sb1 0.0000 0.0000 0.0000  6 Ac 3.37
Sb2 0.0000 0.5000 0.5000  4 Ac 3.37, 2 La 3.37

Computed properties:
- Energy relative to the lowest polymorph listed for this composition: 4.2 meV per atom

Record 5
The following is a DFT calculation (PBE) of crystalline Ac3LaSb4 at its relaxed geometry.

a b c (Å): 9.5222 13.4580 4.7608
angles (deg): 90.00 90.00 90.00
Last column: nearest neighbours and their distance in Å.
Space group Cmmm (No. 65)
Unique sites:
Ac1 0.0000 0.0000 0.0000  6 Sb 3.41
Ac2 0.2500 0.2500 0.5000  6 Sb 3.37
La1 0.0000 0.5000 0.0000  6 Sb 3.32
Sb1 0.0000 0.2535 0.0000  1 La 3.32, 5 Ac 3.37-3.41
Sb2 0.2434 0.5000 0.5000  2 La 3.32, 4 Ac 3.37-3.41

Computed properties:
- Energy relative to the lowest polymorph listed for this composition: 0.0 meV per atom

Record 6
The following is a DFT calculation (PBE) of crystalline AcLa2Sb at its relaxed geometry.

a b c (Å): 8.1324 8.1324 8.1324
angles (deg): 90.00 90.00 90.00
Last column: nearest neighbours and their distance in Å.
Space group Fm-3m (No. 225)
Unique sites:
Ac1 0.0000 0.0000 0.0000  8 La 3.52
La1 0.2500 0.2500 0.2500  4 Sb 3.52, 4 Ac 3.52
Sb1 0.0000 0.0000 0.5000  8 La 3.52

Computed properties:
- Energy relative to the lowest polymorph listed for this composition: 233.3 meV per atom

Record 7
The following is a DFT calculation (PBE) of crystalline AcLaSb4 at its relaxed geometry.

a b c (Å): 9.0517 9.0517 9.0517
angles (deg): 90.00 90.00 90.00
Last column: nearest neighbours and their distance in Å.
Space group F-43m (No. 216)
Unique sites:
Ac1 0.0000 0.0000 0.0000  12 Sb 3.75, 4 La 3.92
La1 0.2500 0.2500 0.2500  12 Sb 3.75, 4 Ac 3.92
Sb1 0.1247 0.1247 0.6247  6 Sb 3.19-3.21

Computed properties:
- E_tot: -4.691 eV per atom

Record 8
The following is a DFT calculation (PBE) of crystalline AcLa2Sb at its relaxed geometry.

a b c (Å): 4.1486 4.1486 34.2512
angles (deg): 90.00 90.00 120.00
Last column: nearest neighbours and their distance in Å.
Space group R-3m (No. 166, hexagonal axes)
Unique sites:
Ac1 0.0000 0.0000 0.0000  2 La 3.71, 6 Ac 4.15
La1 0.0000 0.0000 0.1082  3 Sb 3.12
Sb1 0.0000 0.0000 0.5000  6 La 3.12

Computed properties:
- Energy relative to the lowest polymorph listed for this composition: 286.1 meV per atom

Record 9
The following is a DFT calculation (PBE) of crystalline AcLa2Sb at its relaxed geometry.

a b c (Å): 4.2609 4.2609 30.2832
angles (deg): 90.00 90.00 120.00
Last column: nearest neighbours and their distance in Å.
Space group R3m (No. 160, hexagonal axes)
Unique sites:
Ac1 0.0000 0.0000 0.0000  6 La 3.92-3.93, 6 Ac 4.26
La1 0.0000 0.0000 0.2327  3 Sb 3.16
La2 0.0000 0.0000 0.4343  3 Sb 3.17
Sb1 0.0000 0.0000 0.8337  6 La 3.16-3.17

Computed properties:
- Energy relative to the lowest polymorph listed for this composition: 78.2 meV per atom

Record 10
The following is a DFT calculation (PBE) of crystalline AcLa2Sb at its relaxed geometry.

a b c (Å): 5.1077 5.1077 5.0802
angles (deg): 90.00 90.00 90.00
Last column: nearest neighbours and their distance in Å.
Space group P4/mmm (No. 123)
Unique sites:
Ac1 0.0000 0.0000 0.0000  8 La 3.60, 4 Sb 3.61
La1 0.0000 0.5000 0.5000  4 Ac 3.60, 4 Sb 3.60, 4 La 3.61
Sb1 0.5000 0.5000 0.0000  8 La 3.60, 4 Ac 3.61

Computed properties:
- Energy relative to the lowest polymorph listed for this composition: 1.4 meV per atom

Record 11
The following is a DFT calculation (PBE) of crystalline AcLa2Sb3 at its relaxed geometry.

a b c (Å): 4.6894 6.6325 14.0488
angles (deg): 90.00 90.00 90.00
Last column: nearest neighbours and their distance in Å.
Space group Immm (No. 71)
Unique sites:
Ac1 0.0000 0.0000 0.0000  6 Sb 3.32-3.37
La1 0.0000 0.0000 0.3341  6 Sb 3.27-3.32
Sb1 0.0000 0.5000 0.0000  4 La 3.31, 2 Ac 3.32
Sb2 0.0000 0.5000 0.3279  4 La 3.27-3.32, 2 Ac 3.37

Computed properties:
- E_tot: -5.639 eV per atom

Record 12
The following is a DFT calculation (PBE) of crystalline Ac4LaSb5 at its relaxed geometry.

a b c (Å): 4.7718 4.7718 33.6988
angles (deg): 90.00 90.00 90.00
Last column: nearest neighbours and their distance in Å.
Space group I4/mmm (No. 139)
Unique sites:
Ac1 0.0000 0.0000 0.0991  6 Sb 3.34-3.39
Ac2 0.0000 0.0000 0.3007  6 Sb 3.37-3.42
La1 0.0000 0.0000 0.5000  6 Sb 3.30-3.37
Sb1 0.0000 0.0000 0.0000  2 Ac 3.34, 4 La 3.37
Sb2 0.0000 0.0000 0.1999  6 Ac 3.37-3.40
Sb3 0.0000 0.0000 0.4021  1 La 3.30, 5 Ac 3.37-3.42

Computed properties:
- E_tot: -5.420 eV per atom